Entry 1:
VASP calculation (PBE-GGA) on an optimized crystal structure of CrBr5.

POSCAR file:
```
CrBr5
1.0
1.8408 6.7084 -0.0045
-1.8408 6.7084 -0.0045
0.0000 4.3097 8.3487
Cr Br
1 5
Direct
0.7103 0.7103 0.4992
0.0120 0.0120 0.0010
0.6787 0.6787 0.0005
0.3451 0.3451 0.0004
0.3360 0.3360 0.5007
0.0844 0.0844 0.4982
```

Summary:
Final energy ... -19.075 eV/cell
Formation energy without anion corrections ... -104.9 kJ/mol of formula units
Total moment ... 3.9 μB/f.u.
D(E_F) ... 0.7005 states/eV per atom
Theoretical density ... 3.6 g/cm3

Entry 2:
VASP calculation (PBE-GGA) on an optimized crystal structure of TaFeAg2.

POSCAR file:
```
TaFeAg2
1.0
-4.2772 1.5528 0.7375
-1.1801 -3.4885 0.5006
0.7268 0.2757 3.6343
Ag Fe Ta
2 1 1
Direct
0.0000 0.0000 0.0000
0.0000 0.5000 0.5000
0.5000 0.5000 0.0000
0.5000 0.0000 0.5000
```

Summary:
Final energy ... -24.099 eV/cell
Total moment ... 0.5 μB/f.u.
D(E_F) ... 0.8797 states/eV per atom
Theoretical density ... 11.8 g/cm3

Entry 3:
VASP calculation (PBE-GGA) on an optimized crystal structure of DySbS3.

POSCAR file:
```
DySbS3
1.0
-3.5113 0.0286 -1.8092
1.7475 -5.8952 -3.4849
-3.7535 -5.5159 7.1976
Dy Sb S
2 2 6
Direct
0.2500 0.9246 0.1767
0.7500 0.0754 0.8233
0.2500 0.5885 0.8131
0.7500 0.4115 0.1869
0.2500 0.2203 0.9914
0.7500 0.7797 0.0086
0.2500 0.5747 0.3153
0.7500 0.4253 0.6847
0.2500 0.8982 0.6824
0.7500 0.1018 0.3176
```

Summary:
Final energy ... -53.555 eV/cell
Formation energy without anion corrections ... -547.2 kJ/mol of formula units
Total moment ... 0.0 μB/f.u.
Theoretical density ... 4.6 g/cm3

Question: Which formula does entry 2 have?
Answer: TaFeAg2